No. 1
! GGA-PBE La7Nd12Y, optimized geometry; values from VASP
! E above lowest polymorph (eV/f.u.): 7.60
! ΔH_f (0 K) (meV/atom): 559
! Volume (A^3/atom): 38.12
! E (eV/atom): -4.350
! Fermi-level density of states (states/eV/f.u.): 33.550
&SYSTEM
  ibrav = 0, nat = 20, ntyp = 3
/
ATOMIC_SPECIES
Nd 144.24 Nd.upf
La 138.91 La.upf
Y 88.91 Y.upf
ATOMIC_POSITIONS angstrom
Nd 7.0933 0.4883 -0.0639
Nd 5.8002 1.7513 6.2463
Nd 4.9807 4.1475 2.9238
Nd -0.7292 2.2397 6.7089
Nd 3.3153 2.2397 -0.3987
Nd -2.3945 7.6501 3.3864
Nd 1.3834 5.8988 3.7212
Nd -1.1015 6.3871 -2.9238
Nd 3.1237 6.3871 0.0639
Nd -0.2819 3.9910 0.3987
Nd 1.5750 1.7513 3.2586
Nd 5.4279 5.8988 -3.3864
La 2.3494 4.0692 -3.3225
La 4.6987 0.0000 3.3225
La -2.3494 4.0692 3.3225
La 0.0000 0.0000 4.9838
La 2.3494 4.0692 1.6613
La -2.3494 4.0692 -1.6613
La 4.6987 0.0000 -1.6613
Y 0.0000 0.0000 0.0000
CELL_PARAMETERS angstrom
9.3975 0.0000 -3.3225
-4.6987 8.1385 -3.3225
0.0000 0.0000 9.9675



No. 2
! GGA-PBE SnHg, optimized geometry; values from VASP
! ΔH_f (0 K) (meV/atom): 174
! Volume (A^3/atom): 32.99
! E (eV/atom): -1.978
! Fermi-level density of states (states/eV/f.u.): 1.002
&SYSTEM
  ibrav = 0, nat = 4, ntyp = 2
/
ATOMIC_SPECIES
Sn 118.71 Sn.upf
Hg 200.59 Hg.upf
ATOMIC_POSITIONS angstrom
Sn -5.1476 -1.6263 -0.2529
Sn -1.1902 -3.0210 -0.3382
Hg -3.7467 -3.7169 1.1633
Hg -2.5911 -0.9304 -1.7544
CELL_PARAMETERS angstrom
-2.7137 1.5082 -3.9214
1.4889 -4.7637 0.3272
-5.1130 -1.3918 3.0030



No. 3
! GGA-PBE SrLi2TlSe, optimized geometry; values from VASP
! E above lowest polymorph (eV/f.u.): 0.00
! Volume (A^3/atom): 31.70
! ΔE_f (raw) (eV/f.u.): -2.43
! E (eV/atom): -2.759
! Fermi-level density of states (states/eV/f.u.): 3.511
&SYSTEM
  ibrav = 0, nat = 5, ntyp = 4
/
ATOMIC_SPECIES
Li 6.94 Li.upf
Sr 87.62 Sr.upf
Tl 204.38 Tl.upf
Se 78.96 Se.upf
ATOMIC_POSITIONS angstrom
Li 0.0000 0.0000 2.4424
Li 2.4424 0.0000 0.0000
Sr 2.4424 3.3216 2.4424
Tl 0.0000 3.3216 0.0000
Se 0.0000 0.0000 0.0000
CELL_PARAMETERS angstrom
4.8848 0.0000 0.0000
0.0000 6.6433 0.0000
0.0000 0.0000 4.8848



No. 4
! GGA-PBE KCu2Mo, optimized geometry; values from VASP
! E above lowest polymorph (eV/f.u.): 2.79
! ΔH_f (0 K) (meV/atom): 1270
! Volume (A^3/atom): 22.91
! E (eV/atom): -3.760
! Fermi-level density of states (states/eV/f.u.): 1.573
&SYSTEM
  ibrav = 0, nat = 8, ntyp = 3
/
ATOMIC_SPECIES
Cu 63.55 Cu.upf
Mo 95.94 Mo.upf
K 39.10 K.upf
ATOMIC_POSITIONS angstrom
Cu 6.1473 1.8894 0.8023
Cu 9.4469 9.9260 2.4069
Cu 1.4102 5.6681 0.8023
Cu 5.6681 5.1890 2.4069
Mo 7.5575 3.7787 1.6046
Mo 0.0000 0.0000 0.0000
K 3.7787 3.7787 0.0000
K 3.7787 7.5575 1.6046
CELL_PARAMETERS angstrom
7.5575 0.0000 0.0000
0.0000 7.5575 0.0000
3.7787 3.7787 3.2092



No. 5
! GGA-PBE Nd4Er3TmTe8, optimized geometry; values from VASP
! Volume (A^3/atom): 30.27
! ΔE_f (raw) (eV/f.u.): -21.09
! E (eV/atom): -5.216
! Fermi-level density of states (states/eV/f.u.): 9.942
&SYSTEM
  ibrav = 0, nat = 16, ntyp = 4
/
ATOMIC_SPECIES
Nd 144.24 Nd.upf
Te 127.60 Te.upf
Er 167.26 Er.upf
Tm 168.93 Tm.upf
ATOMIC_POSITIONS angstrom
Nd -2.1668 -2.1645 3.0661
Nd 2.1668 -2.1645 3.0661
Nd 4.3337 0.0000 0.0000
Nd 0.0000 0.0000 0.0000
Te 6.5060 2.3440 0.1194
Te 4.3337 4.4646 3.1517
Te -2.1723 2.2949 6.2179
Te 4.3337 0.1739 3.1935
Te 2.1614 2.3440 0.1194
Te 2.1723 2.2949 6.2179
Te 0.0000 4.4651 3.1438
Te 0.0000 0.1744 3.1856
Er 2.1668 2.3195 3.1686
Er -2.1668 2.3195 3.1686
Er 4.3337 4.4840 0.1025
Tm 0.0000 4.4840 0.1025
CELL_PARAMETERS angstrom
8.6674 0.0000 0.0000
0.0000 8.9680 0.2050
-4.3337 -4.3291 6.1323



No. 6
! GGA-PBE KRbB2, optimized geometry; values from VASP
! E above lowest polymorph (eV/f.u.): 0.38
! ΔH_f (0 K) (meV/atom): 2058
! Volume (A^3/atom): 27.65
! E (eV/atom): -1.797
! Fermi-level density of states (states/eV/f.u.): 4.527
&SYSTEM
  ibrav = 0, nat = 8, ntyp = 3
/
ATOMIC_SPECIES
B 10.81 B.upf
Rb 85.47 Rb.upf
K 39.10 K.upf
ATOMIC_POSITIONS angstrom
B -6.1296 -0.7625 3.2204
B -6.5276 2.2019 6.6344
B -3.0284 4.3353 4.4025
B -11.2525 4.3389 9.8142
Rb -5.1976 5.1335 6.6433
Rb 0.0000 0.0000 0.0000
K -8.2715 -0.0768 5.3924
K -4.8470 2.0889 3.2100
CELL_PARAMETERS angstrom
-1.7731 7.2992 4.4609
-7.9208 -3.1214 1.9591
-3.7751 0.8790 5.6157